1.
This record from Alexandria via LeMat-Bulk describes CoSiN2F after structural relaxation. The functional is GGA-PBEsol.

a = 3.593 Å, b = 3.593 Å, c = 3.476 Å
α = 90.00°, β = 90.00°, γ = 90.00°
Space group P4/mmm (No. 123)
Asymmetric unit:
1 Co 0.000 0.000 0.000 [1 per cell]
2 Si 0.500 0.500 0.500 [1 per cell]
3 N 0.000 0.500 0.500 [2 per cell]
4 F 0.500 0.500 0.000 [1 per cell]

Calculated values
ΔE_f (raw) = -109 meV/atom
Volume = 9.0 Å³/atom

---

2.
This record from Alexandria via LeMat-Bulk describes CoSiN2F after structural relaxation. The functional is GGA-PBEsol.

a = 3.667 Å, b = 3.667 Å, c = 3.757 Å
α = 90.00°, β = 90.00°, γ = 90.00°
Space group P4/mmm (No. 123)
Asymmetric unit:
1 Co 0.000 0.000 0.000 [1 per cell]
2 Si 0.500 0.500 0.500 [1 per cell]
3 N 0.000 0.500 0.000 [2 per cell]
4 F 0.000 0.000 0.500 [1 per cell]

Calculated values
ΔE_f (raw) = 486 meV/atom
Volume = 10.1 Å³/atom

---

3.
This record from Alexandria via LeMat-Bulk describes CoTcN2F after structural relaxation. The functional is GGA-PBEsol.

a = 3.805 Å, b = 3.805 Å, c = 3.963 Å
α = 90.00°, β = 90.00°, γ = 90.00°
Space group P4/mmm (No. 123)
Asymmetric unit:
1 Co 0.000 0.000 0.000 [1 per cell]
2 Tc 0.500 0.500 0.500 [1 per cell]
3 N 0.000 0.500 0.500 [2 per cell]
4 F 0.500 0.500 0.000 [1 per cell]

Calculated values
ΔE_f (raw) = 408 meV/atom
Volume = 11.5 Å³/atom

---

4.
This record from Alexandria via LeMat-Bulk describes CoTe2NF after structural relaxation. The functional is GGA-PBEsol.

a = 4.747 Å, b = 4.747 Å, c = 3.765 Å
α = 90.00°, β = 90.00°, γ = 90.00°
Space group P4/mmm (No. 123)
Asymmetric unit:
1 Co 0.000 0.000 0.000 [1 per cell]
2 Te 0.000 0.500 0.500 [2 per cell]
3 N 0.500 0.500 0.000 [1 per cell]
4 F 0.500 0.500 0.500 [1 per cell]

Calculated values
ΔE_f (raw) = 1268 meV/atom
Volume = 17.0 Å³/atom

---

5.
This record from Alexandria via LeMat-Bulk describes CoTeNF2 after structural relaxation. The functional is GGA-PBEsol.

a = 4.371 Å, b = 4.371 Å, c = 4.146 Å
α = 90.00°, β = 90.00°, γ = 90.00°
Space group P4/mmm (No. 123)
Asymmetric unit:
1 Co 0.000 0.000 0.000 [1 per cell]
2 Te 0.500 0.500 0.500 [1 per cell]
3 N 0.500 0.500 0.000 [1 per cell]
4 F 0.000 0.500 0.500 [2 per cell]

Calculated values
ΔE_f (raw) = 347 meV/atom
Volume = 15.8 Å³/atom

---

6.
This record from Alexandria via LeMat-Bulk describes NaCoNi2F after structural relaxation. The functional is GGA-PBEsol.

a = 4.119 Å, b = 4.119 Å, c = 3.925 Å
α = 90.00°, β = 90.00°, γ = 90.00°
Space group P4/mmm (No. 123)
Asymmetric unit:
1 Na 0.000 0.000 0.000 [1 per cell]
2 Co 0.500 0.500 0.000 [1 per cell]
3 Ni 0.000 0.500 0.500 [2 per cell]
4 F 0.500 0.500 0.500 [1 per cell]

Calculated values
ΔE_f (raw) = 587 meV/atom
Volume = 13.3 Å³/atom